# 1
Here is crystalline ScZnFeAu at its relaxed geometry from OQMD via LeMat-Bulk. Energies are from PBE.

```
ScZnFeAu
1.0
0.000 3.218 3.218
3.218 0.000 3.218
3.218 3.218 0.000
Sc Zn Fe Au
1 1 1 1
direct
0.000 0.000 0.000
0.250 0.250 0.250
0.500 0.500 0.500
0.750 0.750 0.750
```

## Properties
DFT total energy (eV for the cell shown): -19.937
Energy of formation (eV per atom): -0.192
ΔE to the lowest computed polymorph (meV/atom): 6

# 2
Here is crystalline ScZnFeAu at its relaxed geometry from OQMD via LeMat-Bulk. Energies are from PBE.

```
ScZnFeAu
1.0
0.000 3.181 3.181
3.181 0.000 3.181
3.181 3.181 0.000
Sc Zn Fe Au
1 1 1 1
direct
0.000 0.000 0.000
0.500 0.500 0.500
0.750 0.750 0.750
0.250 0.250 0.250
```

## Properties
DFT total energy (eV for the cell shown): -19.960
Energy of formation (eV per atom): -0.198
ΔE to the lowest computed polymorph (meV/atom): 0

# 3
Here is crystalline SrFeAuSe3 at its relaxed geometry from OQMD via LeMat-Bulk. Energies are from PBE.

```
SrFeAuSe3
1.0
1.998 -6.719 0.000
1.998 6.719 0.000
0.000 0.000 10.625
Sr Fe Au Se
2 2 2 6
direct
0.247 0.753 0.750
0.753 0.247 0.250
0.500 0.500 0.000
0.500 0.500 0.500
0.069 0.931 0.250
0.931 0.069 0.750
0.125 0.875 0.025
0.125 0.875 0.475
0.426 0.574 0.250
0.574 0.426 0.750
0.875 0.125 0.525
0.875 0.125 0.975
```

## Properties
DFT total energy (eV for the cell shown): -53.845